InPIrO, relaxed, DFT PBE; polymorph energy (0 for the lowest one) = 0.475 eV/atom
1.0
4.1281 0.0000 0.0000
0.0000 5.8107 0.0000
0.0000 0.0000 5.7671
In O Ir P
2 2 2 2
Direct
0.5000 0.1926 0.5408
0.5000 0.8074 0.0408
0.5000 0.8259 0.4287
0.5000 0.1741 0.9287
0.0000 0.7422 0.4541
0.0000 0.2578 0.9541
0.0000 0.6288 0.8304
0.0000 0.3712 0.3304